Entry from Alexandria via LeMat-Bulk: a geometry-optimized Ga2CuRe structure (PBE-GGA).

Cell lengths 5.4638, 5.4638, 5.4638 Å; angles 104.12, 104.12, 120.81 degrees
Fractional positions:
Ga  0.1017  0.6250  0.9767
Ga  0.3750  0.3517  0.4767
Ga  0.6483  0.1250  0.0233
Ga  0.8750  0.8983  0.5233
Cu  0.0000  0.0000  0.0000
Cu  0.7500  0.2500  0.5000
Re  0.2500  0.7500  0.5000
Re  0.5000  0.5000  0.0000

Values from the calculation:
- spin magnetization (μB per formula unit) = 0.0
- ΔE to the lowest computed polymorph (kJ/mol of atoms) = 33.63
- space-group type = I-42d (122)


Entry from Alexandria via LeMat-Bulk: a geometry-optimized LaTmFe10 structure (PBE-GGA).

Cell lengths 3.9600, 5.0549, 8.7594 Å; angles 90.00, 90.00, 90.00 degrees
Fractional positions:
La  0.0000  0.0000  0.0000
Tm  0.0000  0.5000  0.5000
Fe  0.0000  0.0000  0.3386
Fe  0.0000  0.0000  0.6614
Fe  0.0000  0.5000  0.1728
Fe  0.0000  0.5000  0.8272
Fe  0.5000  0.0000  0.5000
Fe  0.5000  0.2545  0.2591
Fe  0.5000  0.2545  0.7409
Fe  0.5000  0.5000  0.0000
Fe  0.5000  0.7455  0.2591
Fe  0.5000  0.7455  0.7409

Values from the calculation:
- spin magnetization (μB per formula unit) = 20.4
- space-group type = Pmmm (47)
- electronic total energy (Ha/atom) = -0.2878


Entry from Alexandria via LeMat-Bulk: a geometry-optimized Ca2TaW structure (PBE-GGA).

Cell lengths 6.5633, 6.5633, 6.5633 Å; angles 100.14, 100.14, 130.37 degrees
Fractional positions:
Ca  0.1103  0.1250  0.4853
Ca  0.3750  0.8897  0.0147
Ca  0.6397  0.6250  0.5147
Ca  0.8750  0.3603  0.9853
Ta  0.2500  0.7500  0.5000
Ta  0.5000  0.5000  0.0000
W  0.0000  0.0000  0.0000
W  0.7500  0.2500  0.5000

Values from the calculation:
- spin magnetization (μB per formula unit) = 0.4
- ΔE to the lowest computed polymorph (kJ/mol of atoms) = 108.02
- space-group type = I-42d (122)


Entry from Alexandria via LeMat-Bulk: a geometry-optimized Pr2ScSn4Pt3 structure (PBE-GGA).

Cell lengths 4.4415, 4.4415, 11.9383 Å; angles 90.00, 90.00, 90.00 degrees
Fractional positions:
Pr  0.0000  0.5000  0.2432
Pr  0.5000  0.0000  0.7568
Sc  0.0000  0.0000  0.5000
Sn  0.0000  0.0000  0.0000
Sn  0.0000  0.5000  0.6483
Sn  0.5000  0.0000  0.3517
Sn  0.5000  0.5000  0.0000
Pt  0.0000  0.5000  0.8694
Pt  0.5000  0.0000  0.1306
Pt  0.5000  0.5000  0.5000

Values from the calculation:
- spin magnetization (μB per formula unit) = 0.0
- space-group type = P-4m2 (115)
- electronic total energy (Ha/atom) = -0.2148


Entry from Alexandria via LeMat-Bulk: a geometry-optimized LaCoCl2 structure (PBE-GGA).

Cell lengths 9.2249, 9.2249, 9.2249 Å; angles 151.16, 151.16, 41.24 degrees
Fractional positions:
La  0.0000  0.0000  0.0000
La  0.7500  0.2500  0.5000
Co  0.2500  0.7500  0.5000
Co  0.5000  0.5000  0.0000
Cl  0.1665  0.6250  0.0415
Cl  0.3750  0.4165  0.5415
Cl  0.5835  0.1250  0.9585
Cl  0.8750  0.8335  0.4585

Values from the calculation:
- spin magnetization (μB per formula unit) = 0.5
- ΔE_f (raw) (meV/atom) = -686
- ΔE to the lowest computed polymorph (kJ/mol of atoms) = 41.48
- space-group type = I-42d (122)


Entry from Alexandria via LeMat-Bulk: a geometry-optimized Hf2NbF structure (PBE-GGA).

Cell lengths 5.7791, 5.7791, 5.7791 Å; angles 106.77, 106.77, 115.02 degrees
Fractional positions:
Hf  0.0466  0.6250  0.9216
Hf  0.3750  0.2966  0.4216
Hf  0.7034  0.1250  0.0784
Hf  0.8750  0.9534  0.5784
Nb  0.2500  0.7500  0.5000
Nb  0.5000  0.5000  0.0000
F  0.0000  0.0000  0.0000
F  0.7500  0.2500  0.5000

Values from the calculation:
- spin magnetization (μB per formula unit) = 0.0
- ΔE_f (raw) (meV/atom) = -481
- ΔE to the lowest computed polymorph (kJ/mol of atoms) = 0.00
- space-group type = I-42d (122)


Entry from Alexandria via LeMat-Bulk: a geometry-optimized Tm4HSe5 structure (PBE-GGA).

Cell lengths 7.6847, 7.6847, 10.6344 Å; angles 107.27, 107.27, 30.48 degrees
Fractional positions:
Tm  0.0056  0.0056  0.3243
Tm  0.3519  0.3519  0.9235
Tm  0.6481  0.6481  0.0765
Tm  0.9944  0.9944  0.6757
H  0.5000  0.5000  0.0000
Se  0.1505  0.1505  0.8873
Se  0.1659  0.1659  0.2619
Se  0.5000  0.5000  0.5000
Se  0.8341  0.8341  0.7381
Se  0.8495  0.8495  0.1127

Values from the calculation:
- spin magnetization (μB per formula unit) = 0.0
- space-group type = C2/m (12)
- electronic total energy (Ha/atom) = -0.1955


Entry from Alexandria via LeMat-Bulk: a geometry-optimized SnSb structure (PBE-GGA).

Cell lengths 8.1853, 8.1853, 8.1853 Å; angles 109.47, 109.47, 109.47 degrees
Fractional positions:
Sn  0.0000  0.0000  0.6982
Sn  0.0000  0.6982  0.0000
Sn  0.3018  0.3018  0.3018
Sn  0.6982  0.0000  0.0000
Sb  0.0000  0.0000  0.3244
Sb  0.0000  0.3244  0.0000
Sb  0.3244  0.0000  0.0000
Sb  0.6756  0.6756  0.6756

Values from the calculation:
- spin magnetization (μB per formula unit) = 0.0
- ΔE_f (raw) (meV/atom) = 284
- space-group type = I-43m (217)


Entry from Alexandria via LeMat-Bulk: a geometry-optimized SrNbPb3 structure (PBE-GGA).

Cell lengths 5.5545, 5.5545, 5.5545 Å; angles 90.00, 90.00, 90.00 degrees
Fractional positions:
Sr  0.0000  0.0000  0.0000
Nb  0.5000  0.5000  0.5000
Pb  0.0000  0.5000  0.5000
Pb  0.5000  0.0000  0.5000
Pb  0.5000  0.5000  0.0000

Values from the calculation:
- spin magnetization (μB per formula unit) = 0.0
- ΔE to the lowest computed polymorph (kJ/mol of atoms) = 0.00
- space-group type = Pm-3m (221)


Entry from Alexandria via LeMat-Bulk: a geometry-optimized HPd2PtSe structure (PBE-GGA).

Cell lengths 4.3962, 4.3962, 3.5733 Å; angles 90.00, 90.00, 90.00 degrees
Fractional positions:
H  0.0000  0.0000  0.0000
Pd  0.0000  0.5000  0.0000
Pd  0.5000  0.0000  0.0000
Pt  0.0000  0.0000  0.5000
Se  0.5000  0.5000  0.5000

Values from the calculation:
- spin magnetization (μB per formula unit) = 0.0
- space-group type = P4/mmm (123)
- electronic total energy (Ha/atom) = -0.1683


Entry from Alexandria via LeMat-Bulk: a geometry-optimized Tb8SmMg2 structure (PBE-GGA).

Cell lengths 8.9104, 8.9104, 5.6947 Å; angles 102.45, 102.45, 121.11 degrees
Fractional positions:
Tb  0.0972  0.3218  0.6325
Tb  0.2131  0.7869  0.0000
Tb  0.3218  0.0972  0.6325
Tb  0.4082  0.4082  0.2042
Tb  0.5918  0.5918  0.7958
Tb  0.6782  0.9028  0.3675
Tb  0.7869  0.2131  0.0000
Tb  0.9028  0.6782  0.3675
Sm  0.0000  0.0000  0.0000
Mg  0.3070  0.6930  0.5000
Mg  0.6930  0.3070  0.5000

Values from the calculation:
- spin magnetization (μB per formula unit) = 0.0
- ΔE to the lowest computed polymorph (kJ/mol of atoms) = 11.79
- space-group type = C2/m (12)


Entry from Alexandria via LeMat-Bulk: a geometry-optimized La2Tb7Dy2 structure (PBE-GGA).

Cell lengths 8.1124, 8.1124, 6.1443 Å; angles 106.36, 106.36, 91.59 degrees
Fractional positions:
La  0.0933  0.0933  0.3098
La  0.9067  0.9067  0.6902
Tb  0.0864  0.5646  0.3203
Tb  0.2722  0.2722  0.9248
Tb  0.4354  0.9136  0.6797
Tb  0.5000  0.5000  0.5000
Tb  0.5646  0.0864  0.3203
Tb  0.7278  0.7278  0.0752
Tb  0.9136  0.4354  0.6797
Dy  0.2878  0.7122  0.0000
Dy  0.7122  0.2878  0.0000

Values from the calculation:
- spin magnetization (μB per formula unit) = 0.0
- ΔE to the lowest computed polymorph (kJ/mol of atoms) = 0.00
- space-group type = C2/m (12)


Entry from Alexandria via LeMat-Bulk: a geometry-optimized CaPu2ZrAs4 structure (PBE-GGA).

Cell lengths 6.9946, 4.0785, 7.1336 Å; angles 90.00, 109.44, 90.00 degrees
Fractional positions:
Ca  0.0000  0.0000  0.0000
Pu  0.5000  0.0000  0.5000
Pu  0.5000  0.5000  0.0000
Zr  0.0000  0.5000  0.5000
As  0.2414  0.0000  0.7372
As  0.2498  0.5000  0.2647
As  0.7502  0.5000  0.7353
As  0.7586  0.0000  0.2628

Values from the calculation:
- spin magnetization (μB per formula unit) = 0.5
- space-group type = P2/m (10)
- electronic total energy (Ha/atom) = -0.3046


Entry from Alexandria via LeMat-Bulk: a geometry-optimized NaIn2TcS structure (PBE-GGA).

Cell lengths 5.3207, 5.3207, 4.9707 Å; angles 90.00, 90.00, 90.00 degrees
Fractional positions:
Na  0.0000  0.0000  0.0000
In  0.0000  0.5000  0.0000
In  0.5000  0.0000  0.0000
Tc  0.0000  0.0000  0.5000
S  0.5000  0.5000  0.5000

Values from the calculation:
- spin magnetization (μB per formula unit) = 3.3
- ΔE_f (raw) (meV/atom) = 1372
- space-group type = P4/mmm (123)


Entry from Alexandria via LeMat-Bulk: a geometry-optimized PaSiW2 structure (PBE-GGA).

Cell lengths 9.5773, 9.5773, 9.5773 Å; angles 17.75, 17.75, 17.75 degrees
Fractional positions:
Pa  0.0000  0.0000  0.0000
Si  0.5000  0.5000  0.5000
W  0.0969  0.0969  0.0969
W  0.9031  0.9031  0.9031

Values from the calculation:
- spin magnetization (μB per formula unit) = 0.0
- ΔE_f (raw) (meV/atom) = 560
- space-group type = R-3m (166)


Entry from Alexandria via LeMat-Bulk: a geometry-optimized TlCuBr2 structure (PBE-GGA).

Cell lengths 7.9138, 7.9138, 7.9138 Å; angles 149.60, 148.06, 44.68 degrees
Fractional positions:
Tl  0.0000  0.0000  0.0000
Cu  0.7162  0.2162  0.5000
Br  0.3550  0.8550  0.5000
Br  0.6441  0.6441  0.0000

Values from the calculation:
- spin magnetization (μB per formula unit) = 0.0
- ΔE_f (raw) (meV/atom) = -333
- ΔE to the lowest computed polymorph (kJ/mol of atoms) = 20.10
- space-group type = Imm2 (44)


Entry from Alexandria via LeMat-Bulk: a geometry-optimized AcNdZrN3 structure (PBE-GGA).

Cell lengths 7.1479, 3.5787, 9.8498 Å; angles 90.00, 90.79, 90.00 degrees
Fractional positions:
Ac  0.1465  0.2500  0.2042
Ac  0.8535  0.7500  0.7958
Nd  0.3714  0.7500  0.8701
Nd  0.6286  0.2500  0.1299
Zr  0.1640  0.2500  0.5628
Zr  0.8360  0.7500  0.4372
N  0.1390  0.7500  0.4427
N  0.1736  0.2500  0.7716
N  0.3577  0.7500  0.1089
N  0.6423  0.2500  0.8911
N  0.8264  0.7500  0.2284
N  0.8610  0.2500  0.5573

Values from the calculation:
- spin magnetization (μB per formula unit) = 0.0
- ΔE_f (raw) (meV/atom) = -1111
- space-group type = P2_1/m (11)


Entry from Alexandria via LeMat-Bulk: a geometry-optimized CePuPO2 structure (PBE-GGA).

Cell lengths 6.5803, 6.5803, 9.1946 Å; angles 90.00, 90.00, 152.30 degrees
Fractional positions:
Ce  0.2001  0.7999  0.7500
Ce  0.7999  0.2001  0.2500
Pu  0.0000  0.0000  0.0000
Pu  0.0000  0.0000  0.5000
P  0.4215  0.5785  0.7500
P  0.5785  0.4215  0.2500
O  0.3640  0.6360  0.0936
O  0.3640  0.6360  0.4064
O  0.6360  0.3640  0.5936
O  0.6360  0.3640  0.9064

Values from the calculation:
- spin magnetization (μB per formula unit) = 5.7
- ΔE_f (raw) (meV/atom) = -2066
- space-group type = Cmcm (63)


Entry from Alexandria via LeMat-Bulk: a geometry-optimized TmUMnOs structure (PBE-GGA).

Cell lengths 4.7762, 4.7762, 4.7762 Å; angles 60.00, 60.00, 60.00 degrees
Fractional positions:
Tm  0.0000  0.0000  0.0000
U  0.5000  0.5000  0.5000
Mn  0.2500  0.2500  0.2500
Os  0.7500  0.7500  0.7500

Values from the calculation:
- spin magnetization (μB per formula unit) = 0.4
- space-group type = F-43m (216)
- electronic total energy (Ha/atom) = -0.3303


Entry from Alexandria via LeMat-Bulk: a geometry-optimized TlTeBrF2 structure (PBE-GGA).

Cell lengths 4.4111, 4.4111, 6.9613 Å; angles 90.00, 90.00, 90.00 degrees
Fractional positions:
Tl  0.0000  0.0000  0.0000
Te  0.5000  0.5000  0.5000
Br  0.0000  0.0000  0.5000
F  0.0000  0.5000  0.0000
F  0.5000  0.0000  0.0000

Values from the calculation:
- spin magnetization (μB per formula unit) = 0.0
- ΔE_f (raw) (meV/atom) = -804
- space-group type = P4/mmm (123)